Crystalline CeEuCoIr at its relaxed geometry. Source: the Alexandria database, functional PBE.

The value obtained for the density of states at the Fermi level is 9.570 states/eV per cell. For the formation energy from the elements, the calculation gives -0.199 eV per atom. The calculation puts the total moment at 1.8492 μB/atom.

abc: 4.8886 4.8886 4.8886
angles: 60.00 60.00 60.00
With the nearest neighbours (Å) after each atom.
Fractional coordinates of all 4 atoms:
1 Ce 0.0000 0.0000 0.0000  4 Co 2.99, 4 Ir 2.99
2 Eu 0.5000 0.5000 0.5000  4 Co 2.99, 4 Ir 2.99
3 Co 0.2500 0.2500 0.2500  4 Ce 2.99, 4 Eu 2.99
4 Ir 0.7500 0.7500 0.7500  4 Ce 2.99, 4 Eu 2.99